Below is a geometry-optimized Tl2CrHgF6 structure, with properties calculated at the PBE with a Hubbard U level.

Cell lengths 6.152, 8.948, 6.632 Å; angles 90.00, 90.00, 90.00 degrees
Space group Pmmn (No. 59, origin choice 2)
Unique sites:
Tl 0.250 0.014 0.224
Cr 0.250 0.750 0.781
Hg 0.250 0.250 0.712
F 0.021 0.750 0.577
F 0.021 0.750 0.988
F 0.250 0.531 0.791

Summary:
As for the final energy: -4.368 eV per atom.